# Ac2Mn2Co15 | the Alexandria database | PBE-GGA | optimized geometry
data_Ac2Mn2Co15
_chemical_formula_sum 'Ac6 Mn6 Co45'
_space_group_name_H-M_alt 'R -3 m'
_space_group_IT_number 166
_space_group_name_Hall '-R 3 2"'
_cell_length_a 8.5422
_cell_length_b 8.5422
_cell_length_c 12.4521
_cell_angle_alpha 90.00
_cell_angle_beta 90.00
_cell_angle_gamma 120.00
loop_
_atom_site_label
_atom_site_fract_x
_atom_site_fract_y
_atom_site_fract_z
Ac1 0.0000 0.0000 0.1508
Mn1 0.0000 0.0000 0.3969
Co1 0.0000 0.2786 0.5000
Co2 0.0000 0.5000 0.0000
Co3 0.0086 0.5043 0.3445
# Energy of formation from the pure elements   25 meV/atom
# VASP energy   -6.983 eV/atom